# PBE-GGA InHg2Ge, relaxed
data_InHg2Ge
_space_group_name_H-M_alt 'R -3 m'
_space_group_IT_number 166
_space_group_name_Hall '-R 3 2"'
_cell_length_a 3.1781
_cell_length_b 3.1781
_cell_length_c 34.4720
_cell_angle_alpha 90.00
_cell_angle_beta 90.00
_cell_angle_gamma 120.00
loop_
_atom_site_label
_atom_site_fract_x
_atom_site_fract_y
_atom_site_fract_z
In1 0.0000 0.0000 0.0000
Hg1 0.0000 0.0000 0.4174
Ge1 0.0000 0.0000 0.5000
# DFT total energy   -1.8225 eV/atom
# Spin magnetization   0.0 μB/cell
# E_form   0.1673 eV/atom